First-principles (PBE) data for an optimized crystal structure of CrFeHg4, as listed in Alexandria.

```
data_CrFeHg4
_chemical_formula_sum 'Cr4 Fe4 Hg16'
_cell_length_a 8.0809
_cell_length_b 8.0809
_cell_length_c 8.0809
_cell_angle_alpha 90.00
_cell_angle_beta 90.00
_cell_angle_gamma 90.00
_symmetry_space_group_name_H-M 'F -4 3 m'
_symmetry_Int_Tables_number 216
_symmetry_space_group_name_Hall 'F -4 2 3'
loop_
_atom_site_label
_atom_site_type_symbol
_atom_site_fract_x
_atom_site_fract_y
_atom_site_fract_z
_atom_site_occupancy
Cr1 Cr 0.0000 0.0000 0.0000 1
Fe1 Fe 0.2500 0.2500 0.7500 1
Hg1 Hg 0.1249 0.1249 0.3751 1
```

Computed properties:
Calculated formation energy (kJ per mole of atoms): 78
DOS at the Fermi energy (states/eV per atom): 1.01



First-principles (PBE) data for an optimized crystal structure of CrFeHg2, as listed in Alexandria.

```
data_CrFeHg2
_chemical_formula_sum 'Cr1 Fe1 Hg2'
_cell_length_a 2.9525
_cell_length_b 2.9525
_cell_length_c 7.9590
_cell_angle_alpha 90.00
_cell_angle_beta 90.00
_cell_angle_gamma 90.00
_symmetry_space_group_name_H-M 'P 4 m m'
_symmetry_Int_Tables_number 99
loop_
_symmetry_equiv_pos_as_xyz
'x,y,z'
'-y,x,z'
'-x,-y,z'
'y,-x,z'
'-x,y,z'
'y,x,z'
'x,-y,z'
'-y,-x,z'
loop_
_atom_site_label
_atom_site_type_symbol
_atom_site_fract_x
_atom_site_fract_y
_atom_site_fract_z
_atom_site_occupancy
Cr1 Cr 0.0000 0.0000 0.0000 1
Fe1 Fe 0.5000 0.5000 0.1604 1
Hg1 Hg 0.0000 0.0000 0.4102 1
Hg2 Hg 0.5000 0.5000 0.7385 1
```

Computed properties:
Calculated formation energy (kJ per mole of atoms): 36
DOS at the Fermi energy (states/eV per atom): 0.67



First-principles (PBE) data for an optimized crystal structure of CrFeHg2, as listed in Alexandria.

```
data_CrFeHg2
_chemical_formula_sum 'Cr2 Fe2 Hg4'
_cell_length_a 4.0029
_cell_length_b 4.0029
_cell_length_c 9.0129
_cell_angle_alpha 90.00
_cell_angle_beta 90.00
_cell_angle_gamma 90.00
_symmetry_space_group_name_H-M 'I -4 m 2'
_symmetry_Int_Tables_number 119
_symmetry_space_group_name_Hall 'I -4 -2'
loop_
_atom_site_label
_atom_site_type_symbol
_atom_site_fract_x
_atom_site_fract_y
_atom_site_fract_z
_atom_site_occupancy
Cr1 Cr 0.0000 0.0000 0.0000 1
Fe1 Fe 0.0000 0.5000 0.7500 1
Hg1 Hg 0.0000 0.0000 0.5000 1
Hg2 Hg 0.0000 0.5000 0.2500 1
```

Computed properties:
Calculated formation energy (kJ per mole of atoms): 59
DOS at the Fermi energy (states/eV per atom): 1.32



First-principles (PBE) data for an optimized crystal structure of CrFeHg, as listed in Alexandria.

```
data_CrFeHg
_chemical_formula_sum 'Cr4 Fe4 Hg4'
_cell_length_a 6.0620
_cell_length_b 6.0620
_cell_length_c 6.0620
_cell_angle_alpha 90.00
_cell_angle_beta 90.00
_cell_angle_gamma 90.00
_symmetry_space_group_name_H-M 'F -4 3 m'
_symmetry_Int_Tables_number 216
_symmetry_space_group_name_Hall 'F -4 2 3'
loop_
_atom_site_label
_atom_site_type_symbol
_atom_site_fract_x
_atom_site_fract_y
_atom_site_fract_z
_atom_site_occupancy
Cr1 Cr 0.0000 0.0000 0.0000 1
Fe1 Fe 0.2500 0.2500 0.7500 1
Hg1 Hg 0.0000 0.0000 0.5000 1
```

Computed properties:
Calculated formation energy (kJ per mole of atoms): 72
DOS at the Fermi energy (states/eV per atom): 1.33



First-principles (PBE) data for an optimized crystal structure of CrFeHg2, as listed in Alexandria.

```
data_CrFeHg2
_chemical_formula_sum 'Cr2 Fe2 Hg4'
_cell_length_a 4.2754
_cell_length_b 4.2754
_cell_length_c 7.6684
_cell_angle_alpha 90.00
_cell_angle_beta 90.00
_cell_angle_gamma 90.00
_symmetry_space_group_name_H-M 'I 4/m m m'
_symmetry_Int_Tables_number 139
_symmetry_space_group_name_Hall '-I 4 2'
loop_
_atom_site_label
_atom_site_type_symbol
_atom_site_fract_x
_atom_site_fract_y
_atom_site_fract_z
_atom_site_occupancy
Cr1 Cr 0.0000 0.0000 0.0000 1
Fe1 Fe 0.0000 0.0000 0.5000 1
Hg1 Hg 0.0000 0.5000 0.2500 1
```

Computed properties:
Calculated formation energy (kJ per mole of atoms): 52
DOS at the Fermi energy (states/eV per atom): 1.14



First-principles (PBE) data for an optimized crystal structure of CrFeHg2, as listed in Alexandria.

```
data_CrFeHg2
_chemical_formula_sum 'Cr1 Fe1 Hg2'
_cell_length_a 3.0550
_cell_length_b 3.7941
_cell_length_c 6.0463
_cell_angle_alpha 90.00
_cell_angle_beta 90.19
_cell_angle_gamma 90.00
_symmetry_space_group_name_H-M 'P 1 2/m 1'
_symmetry_Int_Tables_number 10
loop_
_symmetry_equiv_pos_as_xyz
'x,y,z'
'-x,-y,-z'
'-x,y,-z'
'x,-y,z'
loop_
_atom_site_label
_atom_site_type_symbol
_atom_site_fract_x
_atom_site_fract_y
_atom_site_fract_z
_atom_site_occupancy
Cr1 Cr 0.0000 0.0000 0.0000 1
Fe1 Fe 0.0000 0.0000 0.5000 1
Hg1 Hg 0.4997 0.5000 0.2549 1
```

Computed properties:
Calculated formation energy (kJ per mole of atoms): 51
DOS at the Fermi energy (states/eV per atom): 0.89



First-principles (PBE) data for an optimized crystal structure of Cr2Fe2Hg, as listed in Alexandria.

```
data_Cr2Fe2Hg
_chemical_formula_sum 'Cr4 Fe4 Hg2'
_cell_length_a 6.9814
_cell_length_b 6.9814
_cell_length_c 2.6483
_cell_angle_alpha 90.00
_cell_angle_beta 90.00
_cell_angle_gamma 90.00
_symmetry_space_group_name_H-M 'P 4/m b m'
_symmetry_Int_Tables_number 127
_symmetry_space_group_name_Hall '-P 4 2ab'
loop_
_atom_site_label
_atom_site_type_symbol
_atom_site_fract_x
_atom_site_fract_y
_atom_site_fract_z
_atom_site_occupancy
Cr1 Cr 0.1587 0.3413 0.0000 1
Fe1 Fe 0.1271 0.6271 0.5000 1
Hg1 Hg 0.0000 0.0000 0.5000 1
```

Computed properties:
Calculated formation energy (kJ per mole of atoms): 37
DOS at the Fermi energy (states/eV per atom): 0.93



First-principles (PBE) data for an optimized crystal structure of CrFeHg2, as listed in Alexandria.

```
data_CrFeHg2
_chemical_formula_sum 'Cr2 Fe2 Hg4'
_cell_length_a 6.0337
_cell_length_b 7.6619
_cell_length_c 3.0384
_cell_angle_alpha 90.00
_cell_angle_beta 90.00
_cell_angle_gamma 90.00
_symmetry_space_group_name_H-M 'C m m m'
_symmetry_Int_Tables_number 65
_symmetry_space_group_name_Hall '-C 2 2'
loop_
_atom_site_label
_atom_site_type_symbol
_atom_site_fract_x
_atom_site_fract_y
_atom_site_fract_z
_atom_site_occupancy
Cr1 Cr 0.0000 0.0000 0.0000 1
Fe1 Fe 0.0000 0.5000 0.0000 1
Hg1 Hg 0.2500 0.2500 0.5000 1
```

Computed properties:
Calculated formation energy (kJ per mole of atoms): 50
DOS at the Fermi energy (states/eV per atom): 0.83



First-principles (PBE) data for an optimized crystal structure of CrFe2Hg, as listed in Alexandria.

```
data_CrFe2Hg
_chemical_formula_sum 'Cr1 Fe2 Hg1'
_cell_length_a 2.7534
_cell_length_b 2.7534
_cell_length_c 7.3891
_cell_angle_alpha 90.00
_cell_angle_beta 90.00
_cell_angle_gamma 90.00
_symmetry_space_group_name_H-M 'P 4/m m m'
_symmetry_Int_Tables_number 123
_symmetry_space_group_name_Hall '-P 4 2'
loop_
_atom_site_label
_atom_site_type_symbol
_atom_site_fract_x
_atom_site_fract_y
_atom_site_fract_z
_atom_site_occupancy
Cr1 Cr 0.0000 0.0000 0.0000 1
Fe1 Fe 0.5000 0.5000 0.2118 1
Hg1 Hg 0.0000 0.0000 0.5000 1
```

Computed properties:
Calculated formation energy (kJ per mole of atoms): 37
DOS at the Fermi energy (states/eV per atom): 0.91



First-principles (PBE) data for an optimized crystal structure of CrFeHg2, as listed in Alexandria.

```
data_CrFeHg2
_chemical_formula_sum 'Cr3 Fe3 Hg6'
_cell_length_a 3.0594
_cell_length_b 3.0594
_cell_length_c 26.9906
_cell_angle_alpha 90.00
_cell_angle_beta 90.00
_cell_angle_gamma 120.00
_symmetry_space_group_name_H-M 'R -3 m'
_symmetry_Int_Tables_number 166
_symmetry_space_group_name_Hall '-R 3 2"'
loop_
_atom_site_label
_atom_site_type_symbol
_atom_site_fract_x
_atom_site_fract_y
_atom_site_fract_z
_atom_site_occupancy
Cr1 Cr 0.0000 0.0000 0.0000 1
Fe1 Fe 0.0000 0.0000 0.5000 1
Hg1 Hg 0.0000 0.0000 0.2489 1
```

Computed properties:
Calculated formation energy (kJ per mole of atoms): 59
DOS at the Fermi energy (states/eV per atom): 1.07



First-principles (PBE) data for an optimized crystal structure of CrFe2Hg, as listed in Alexandria.

```
data_CrFe2Hg
_chemical_formula_sum 'Cr1 Fe2 Hg1'
_cell_length_a 3.0322
_cell_length_b 3.0538
_cell_length_c 6.0151
_cell_angle_alpha 90.00
_cell_angle_beta 90.00
_cell_angle_gamma 90.00
_symmetry_space_group_name_H-M 'P m m m'
_symmetry_Int_Tables_number 47
loop_
_symmetry_equiv_pos_as_xyz
'x,y,z'
'-x,-y,-z'
'-x,-y,z'
'x,y,-z'
'x,-y,-z'
'-x,y,z'
'-x,y,-z'
'x,-y,z'
loop_
_atom_site_label
_atom_site_type_symbol
_atom_site_fract_x
_atom_site_fract_y
_atom_site_fract_z
_atom_site_occupancy
Cr1 Cr 0.0000 0.0000 0.0000 1
Fe1 Fe 0.5000 0.5000 0.1962 1
Hg1 Hg 0.0000 0.0000 0.5000 1
```

Computed properties:
Calculated formation energy (kJ per mole of atoms): 35
DOS at the Fermi energy (states/eV per atom): 0.73



First-principles (PBE) data for an optimized crystal structure of CrFeHg2, as listed in Alexandria.

```
data_CrFeHg2
_chemical_formula_sum 'Cr3 Fe3 Hg6'
_cell_length_a 3.0395
_cell_length_b 3.0395
_cell_length_c 27.0305
_cell_angle_alpha 90.00
_cell_angle_beta 90.00
_cell_angle_gamma 120.00
_symmetry_space_group_name_H-M 'R 3 m'
_symmetry_Int_Tables_number 160
_symmetry_space_group_name_Hall 'R 3 -2"'
loop_
_atom_site_label
_atom_site_type_symbol
_atom_site_fract_x
_atom_site_fract_y
_atom_site_fract_z
_atom_site_occupancy
Cr1 Cr 0.0000 0.0000 0.0000 1
Fe1 Fe 0.0000 0.0000 0.7220 1
Hg1 Hg 0.0000 0.0000 0.2460 1
Hg2 Hg 0.0000 0.0000 0.4744 1
```

Computed properties:
Calculated formation energy (kJ per mole of atoms): 47
DOS at the Fermi energy (states/eV per atom): 0.78